# 1
Compound: Hf2Al3Ir
Source: the Alexandria database
Functional: PBE
Structure: optimized geometry

```
Hf2Al3Ir
1.0
-1.4584 2.7244 7.1112
1.4584 -2.7244 7.1112
1.4584 2.7244 -7.1112
Hf Al Ir
2 3 1
Cartesian
0.0000 0.0000 2.6859 Hf
0.0000 0.0000 11.5364 Hf
1.4584 0.0000 0.0000 Al
1.4584 0.0000 5.1110 Al
0.0000 2.7244 2.0002 Al
0.0000 0.0000 7.1112 Ir
```

The space-group type is No. 71. The energy of formation from the pure elements is -0.055 eV/atom.

=====

# 2
Compound: HfAl2Ir2
Source: the Alexandria database
Functional: PBE
Structure: optimized geometry

```
HfAl2Ir2
1.0
-1.8377 1.8377 6.1975
1.8377 -1.8377 6.1975
1.8377 1.8377 -6.1975
Hf Al Ir
1 2 2
Cartesian
0.0000 0.0000 0.0000 Hf
1.8377 0.0000 3.0988 Al
0.0000 1.8377 3.0988 Al
0.0000 0.0000 4.8689 Ir
0.0000 0.0000 7.5261 Ir
```

The space-group type is No. 139. The energy of formation from the pure elements is -0.748 eV/atom. The excess energy over the best structure of this formula in the dataset comes out at 52 meV per atom.

=====

# 3
Compound: Hf8AlIr2
Source: the Alexandria database
Functional: PBE
Structure: optimized geometry

```
Hf8AlIr2
1.0
4.0033 -6.3396 0.0000
4.0033 6.3396 0.0000
-1.4363 0.0000 4.6007
Hf Al Ir
8 1 2
Cartesian
0.7485 1.4888 2.6676 Hf
4.0033 3.3959 0.0000 Hf
0.7485 -1.4888 2.6676 Hf
2.7966 0.0000 0.8478 Hf
3.7736 0.0000 3.7529 Hf
5.8217 1.4888 1.9332 Hf
4.0033 -3.3959 0.0000 Hf
5.8217 -1.4888 1.9332 Hf
0.0000 0.0000 0.0000 Al
3.2851 2.3245 2.3004 Ir
3.2851 -2.3245 2.3004 Ir
```

The space-group type is No. 12. The energy of formation from the pure elements is -0.269 eV/atom.

=====

# 4
Compound: Hf2AlIr2
Source: the Alexandria database
Functional: PBE
Structure: optimized geometry

```
Hf2AlIr2
1.0
7.5783 0.0000 0.0000
0.0000 7.5783 0.0000
0.0000 0.0000 3.1645
Hf Al Ir
4 2 4
Cartesian
1.2460 2.5431 0.0000 Hf
2.5431 6.3322 0.0000 Hf
5.0352 1.2460 0.0000 Hf
6.3322 5.0352 0.0000 Hf
0.0000 0.0000 1.5822 Al
3.7891 3.7891 1.5822 Al
1.0174 4.8066 1.5822 Ir
2.7717 1.0174 1.5822 Ir
4.8066 6.5608 1.5822 Ir
6.5608 2.7717 1.5822 Ir
```

The space-group type is No. 127. The energy of formation from the pure elements is -0.762 eV/atom.

=====

# 5
Compound: Hf4Al2Ir
Source: the Alexandria database
Functional: PBE
Structure: optimized geometry

```
Hf4Al2Ir
1.0
-2.4674 2.4674 7.0555
2.4674 -2.4674 7.0555
2.4674 2.4674 -7.0555
Hf Al Ir
4 2 1
Cartesian
2.4674 0.0000 0.0000 Hf
0.0000 0.0000 2.5655 Hf
0.0000 2.4674 0.0000 Hf
0.0000 0.0000 11.5455 Hf
0.0000 0.0000 5.3340 Al
0.0000 0.0000 8.7770 Al
0.0000 0.0000 0.0000 Ir
```

The space-group type is No. 139. The energy of formation from the pure elements is 0.302 eV/atom.

=====

# 6
Compound: Hf3AlIr
Source: the Alexandria database
Functional: PBE
Structure: optimized geometry

```
Hf3AlIr
1.0
4.9981 0.0000 0.0000
0.0000 4.9981 0.0000
0.0000 0.0000 4.9981
Hf Al Ir
3 1 1
Cartesian
0.0000 0.0000 2.4990 Hf
0.0000 2.4990 0.0000 Hf
2.4990 0.0000 0.0000 Hf
2.4990 2.4990 2.4990 Al
0.0000 0.0000 0.0000 Ir
```

The space-group type is No. 221. The energy of formation from the pure elements is 0.209 eV/atom. The excess energy over the best structure of this formula in the dataset comes out at 0 meV per atom.

=====

# 7
Compound: Hf2AlIr2
Source: the Alexandria database
Functional: PBE
Structure: optimized geometry

```
Hf2AlIr2
1.0
7.8322 0.0000 0.0000
0.0000 7.8322 0.0000
0.0000 0.0000 3.0606
Hf Al Ir
4 2 4
Cartesian
1.2074 2.7087 0.0000 Hf
2.7087 6.6248 0.0000 Hf
5.1235 1.2074 0.0000 Hf
6.6248 5.1235 0.0000 Hf
0.0000 0.0000 0.0000 Al
3.9161 3.9161 0.0000 Al
1.0820 4.9981 1.5303 Ir
2.8341 1.0820 1.5303 Ir
4.9981 6.7503 1.5303 Ir
6.7503 2.8341 1.5303 Ir
```

The space-group type is No. 127. The energy of formation from the pure elements is -0.490 eV/atom.

=====

# 8
Compound: HfAl3Ir2
Source: the Alexandria database
Functional: PBE
Structure: optimized geometry

```
HfAl3Ir2
1.0
3.0637 0.0000 0.0000
0.0000 8.4727 0.0000
0.0000 0.0000 7.3616
Hf Al Ir
2 6 4
Cartesian
0.0000 0.8356 0.0000 Hf
0.0000 7.6371 3.6808 Hf
0.0000 2.8931 4.1647 Al
0.0000 5.5796 0.4839 Al
1.5319 1.4089 2.4595 Al
1.5319 3.4237 6.5378 Al
1.5319 5.0491 2.8570 Al
1.5319 7.0638 6.1403 Al
0.0000 3.2437 1.4607 Ir
0.0000 5.2290 5.1415 Ir
1.5319 1.0651 5.0840 Ir
1.5319 7.4077 1.4032 Ir
```

The space-group type is No. 26. The energy of formation from the pure elements is -0.805 eV/atom.

=====

# 9
Compound: Hf2AlIr2
Source: the Alexandria database
Functional: PBE
Structure: optimized geometry

```
Hf2AlIr2
1.0
-1.9743 1.9743 6.6258
1.9743 -1.9743 6.6258
1.9743 1.9743 -6.6258
Hf Al Ir
2 1 2
Cartesian
0.0000 0.0000 1.5740 Hf
0.0000 0.0000 11.6775 Hf
0.0000 0.0000 6.6258 Al
1.9743 0.0000 3.3129 Ir
0.0000 1.9743 3.3129 Ir
```

The space-group type is No. 139. The energy of formation from the pure elements is -0.229 eV/atom.

=====

# 10
Compound: Hf6AlIr
Source: the Alexandria database
Functional: PBE
Structure: optimized geometry

```
Hf6AlIr
1.0
3.0586 -5.3166 0.0000
3.0586 5.3166 0.0000
-3.0216 0.0000 5.3852
Hf Al Ir
6 1 1
Cartesian
0.7343 2.2186 1.3389 Hf
-0.7882 0.0000 4.0854 Hf
0.7343 -2.2186 1.3389 Hf
2.3614 2.2186 4.0462 Hf
3.8839 0.0000 1.2998 Hf
2.3614 -2.2186 4.0462 Hf
1.5479 0.0000 2.6926 Al
0.0000 0.0000 0.0000 Ir
```

The space-group type is No. 12. The energy of formation from the pure elements is 0.106 eV/atom.

=====

# 11
Compound: Hf3Al8Ir4
Source: the Alexandria database
Functional: PBE
Structure: optimized geometry

```
Hf3Al8Ir4
1.0
0.0000 6.1986 6.1986
6.1986 0.0000 6.1986
6.1986 6.1986 0.0000
Hf Al Ir
6 16 8
Cartesian
6.1986 6.1986 2.5922 Hf
6.1986 2.5922 6.1986 Hf
9.8050 6.1986 6.1986 Hf
2.5922 6.1986 6.1986 Hf
6.1986 9.8050 6.1986 Hf
6.1986 6.1986 9.8050 Hf
7.6967 4.7004 4.7004 Al
2.0299 2.0299 2.0299 Al
4.1687 4.1687 2.0299 Al
4.1687 2.0299 4.1687 Al
4.7004 4.7004 4.7004 Al
7.6967 7.6967 4.7004 Al
7.6967 4.7004 7.6967 Al
10.3673 8.2284 8.2284 Al
2.0299 4.1687 4.1687 Al
4.7004 7.6967 4.7004 Al
4.7004 4.7004 7.6967 Al
7.6967 7.6967 7.6967 Al
8.2284 10.3673 8.2284 Al
8.2284 8.2284 10.3673 Al
10.3673 10.3673 10.3673 Al
4.7004 7.6967 7.6967 Al
0.0000 0.0000 0.0000 Ir
3.0993 3.0993 0.0000 Ir
3.0993 0.0000 3.0993 Ir
6.1986 3.0993 3.0993 Ir
0.0000 3.0993 3.0993 Ir
3.0993 6.1986 3.0993 Ir
3.0993 3.0993 6.1986 Ir
6.1986 6.1986 6.1986 Ir
```

The space-group type is No. 225. The energy of formation from the pure elements is -0.857 eV/atom.

=====

# 12
Compound: Hf2Al8Ir
Source: the Alexandria database
Functional: PBE
Structure: optimized geometry

```
Hf2Al8Ir
1.0
4.1688 0.0000 0.0000
0.0000 4.1688 0.0000
0.0000 0.0000 10.8344
Hf Al Ir
2 8 1
Cartesian
0.0000 0.0000 2.0131 Hf
0.0000 0.0000 8.8213 Hf
0.0000 2.0844 0.0000 Al
0.0000 2.0844 4.0225 Al
0.0000 2.0844 6.8119 Al
2.0844 0.0000 0.0000 Al
2.0844 0.0000 4.0225 Al
2.0844 0.0000 6.8119 Al
2.0844 2.0844 2.0431 Al
2.0844 2.0844 8.7912 Al
0.0000 0.0000 5.4172 Ir
```

The space-group type is No. 123. The energy of formation from the pure elements is -0.500 eV/atom.

=====

# 13
Compound: HfAl2Ir2
Source: the Alexandria database
Functional: PBE
Structure: optimized geometry

```
HfAl2Ir2
1.0
7.3983 0.0000 0.0000
0.0000 7.3983 0.0000
0.0000 0.0000 2.9169
Hf Al Ir
2 4 4
Cartesian
0.0000 0.0000 0.0000 Hf
3.6991 3.6991 0.0000 Hf
1.0812 2.6179 1.4584 Al
2.6179 6.3171 1.4584 Al
4.7803 1.0812 1.4584 Al
6.3171 4.7803 1.4584 Al
1.1067 4.8058 0.0000 Ir
2.5924 1.1067 0.0000 Ir
4.8058 6.2915 0.0000 Ir
6.2915 2.5924 0.0000 Ir
```

The space-group type is No. 127. The energy of formation from the pure elements is -0.755 eV/atom. The excess energy over the best structure of this formula in the dataset comes out at 45 meV per atom.

=====

# 14
Compound: Hf2Al2Ir
Source: the Alexandria database
Functional: PBE
Structure: optimized geometry

```
Hf2Al2Ir
1.0
6.5391 0.0000 0.0000
0.0000 6.5391 0.0000
0.0000 0.0000 4.1469
Hf Al Ir
4 4 2
Cartesian
1.1080 2.1615 0.0000 Hf
2.1615 5.4311 0.0000 Hf
4.3776 1.1080 0.0000 Hf
5.4311 4.3776 0.0000 Hf
0.8951 4.1646 2.0735 Al
2.3745 0.8951 2.0735 Al
4.1646 5.6440 2.0735 Al
5.6440 2.3745 2.0735 Al
0.0000 0.0000 2.0735 Ir
3.2696 3.2696 2.0735 Ir
```

The space-group type is No. 127. The energy of formation from the pure elements is -0.610 eV/atom.

=====

# 15
Compound: HfAl2Ir2
Source: the Alexandria database
Functional: PBE
Structure: optimized geometry

```
HfAl2Ir2
1.0
7.4428 0.0000 0.0000
0.0000 7.4428 0.0000
0.0000 0.0000 2.8183
Hf Al Ir
2 4 4
Cartesian
0.0000 0.0000 0.0000 Hf
3.7214 3.7214 0.0000 Hf
0.9269 2.7945 0.0000 Al
2.7945 6.5159 0.0000 Al
4.6483 0.9269 0.0000 Al
6.5159 4.6483 0.0000 Al
1.2820 5.0034 1.4091 Ir
2.4394 1.2820 1.4091 Ir
5.0034 6.1608 1.4091 Ir
6.1608 2.4394 1.4091 Ir
```

The space-group type is No. 127. The energy of formation from the pure elements is -0.800 eV/atom. The excess energy over the best structure of this formula in the dataset comes out at 0 meV per atom.

=====

# 16
Compound: HfAl4Ir
Source: the Alexandria database
Functional: PBE
Structure: optimized geometry

```
HfAl4Ir
1.0
4.0515 0.0000 0.0000
0.0000 6.7352 0.0000
-2.0363 0.0000 7.5440
Hf Al Ir
2 8 2
Cartesian
-0.0004 1.6838 1.8505 Hf
2.0155 5.0514 5.6935 Hf
-0.0001 5.0514 0.9699 Al
-0.0101 0.3382 4.8181 Al
-0.0101 3.0294 4.8181 Al
2.0257 0.0000 0.0000 Al
2.0257 3.3676 0.0000 Al
2.0253 3.7058 2.7259 Al
2.0253 6.3971 2.7259 Al
2.0152 1.6838 6.5741 Al
-0.0004 5.0514 3.4121 Ir
2.0155 1.6838 4.1320 Ir
```

The space-group type is No. 11. The energy of formation from the pure elements is -0.519 eV/atom.

=====

# 17
Compound: HfAl4Ir
Source: the Alexandria database
Functional: PBE
Structure: optimized geometry

```
HfAl4Ir
1.0
-3.2064 3.2064 5.3326
3.2064 -3.2064 5.3326
3.2064 3.2064 -5.3326
Hf Al Ir
2 8 2
Cartesian
0.0000 0.0000 0.0000 Hf
0.0000 0.0000 5.3326 Hf
-0.9673 2.2391 6.9370 Al
4.1736 0.9673 -1.6044 Al
0.9673 2.2391 -1.6044 Al
4.1736 0.9673 1.6044 Al
0.9673 2.2391 1.6044 Al
2.2391 0.9673 3.7283 Al
-0.9673 2.2391 3.7283 Al
2.2391 0.9673 6.9370 Al
0.0000 0.0000 2.6663 Ir
0.0000 0.0000 7.9990 Ir
```

The space-group type is No. 140. The energy of formation from the pure elements is -0.389 eV/atom.

=====

# 18
Compound: Hf4Al6Ir7
Source: the Alexandria database
Functional: PBE
Structure: optimized geometry

```
Hf4Al6Ir7
1.0
-4.0992 4.0992 4.0992
4.0992 -4.0992 4.0992
4.0992 4.0992 -4.0992
Hf Al Ir
4 6 7
Cartesian
2.0496 2.0496 -2.0496 Hf
2.0496 -2.0496 2.0496 Hf
-2.0496 2.0496 2.0496 Hf
2.0496 2.0496 2.0496 Hf
2.5366 0.0000 0.0000 Al
5.6619 0.0000 0.0000 Al
0.0000 2.5366 0.0000 Al
0.0000 0.0000 2.5366 Al
0.0000 5.6619 0.0000 Al
0.0000 0.0000 5.6619 Al
0.0000 0.0000 0.0000 Ir
4.0992 2.0496 0.0000 Ir
4.0992 0.0000 2.0496 Ir
2.0496 4.0992 0.0000 Ir
2.0496 0.0000 4.0992 Ir
0.0000 4.0992 2.0496 Ir
0.0000 2.0496 4.0992 Ir
```

The space-group type is No. 229. The energy of formation from the pure elements is -0.830 eV/atom.

=====

# 19
Compound: LiHfAlIr
Source: the Alexandria database
Functional: PBE
Structure: optimized geometry

```
LiHfAlIr
1.0
0.0000 3.1465 3.1465
3.1465 0.0000 3.1465
3.1465 3.1465 0.0000
Li Hf Al Ir
1 1 1 1
Cartesian
0.0000 0.0000 0.0000 Li
1.5733 1.5733 1.5733 Hf
4.7198 4.7198 4.7198 Al
3.1465 3.1465 3.1465 Ir
```

The space-group type is No. 216. The energy of formation from the pure elements is -0.743 eV/atom.

=====

# 20
Compound: Hf2MgAl2Ir5
Source: the Alexandria database
Functional: PBE
Structure: optimized geometry

```
Hf2MgAl2Ir5
1.0
9.5590 0.0000 0.0000
0.0000 9.5590 0.0000
0.0000 0.0000 3.5123
Hf Mg Al Ir
4 2 4 10
Cartesian
1.6766 3.1029 0.0000 Hf
3.1029 7.8824 0.0000 Hf
6.4561 1.6766 0.0000 Hf
7.8824 6.4561 0.0000 Hf
0.0000 0.0000 0.0000 Mg
4.7795 4.7795 0.0000 Mg
1.1883 5.9678 0.0000 Al
3.5912 1.1883 0.0000 Al
5.9678 8.3708 0.0000 Al
8.3708 3.5912 0.0000 Al
0.0000 4.7795 1.7562 Ir
0.6927 7.5996 1.7562 Ir
1.9594 0.6927 1.7562 Ir
2.8201 5.4722 1.7562 Ir
4.0868 2.8201 1.7562 Ir
4.7795 0.0000 1.7562 Ir
5.4722 6.7389 1.7562 Ir
6.7389 4.0868 1.7562 Ir
7.5996 8.8663 1.7562 Ir
8.8663 1.9594 1.7562 Ir
```

The space-group type is No. 127. The energy of formation from the pure elements is -0.703 eV/atom.

=====

# 21
Compound: HfMgAlIr
Source: the Alexandria database
Functional: PBE
Structure: optimized geometry

```
HfMgAlIr
1.0
0.0000 3.2126 3.2126
3.2126 0.0000 3.2126
3.2126 3.2126 0.0000
Hf Mg Al Ir
1 1 1 1
Cartesian
0.0000 0.0000 0.0000 Hf
1.6063 1.6063 1.6063 Mg
3.2126 3.2126 3.2126 Al
4.8189 4.8189 4.8189 Ir
```

The space-group type is No. 216. The energy of formation from the pure elements is -0.630 eV/atom.

=====

# 22
Compound: NdHfAlIr2
Source: the Alexandria database
Functional: PBE
Structure: optimized geometry

```
NdHfAlIr2
1.0
-2.0831 2.0831 5.9006
2.0831 -2.0831 5.9006
2.0831 2.0831 -5.9006
Nd Hf Al Ir
1 1 1 2
Cartesian
0.0000 0.0000 0.0000 Nd
2.0831 0.0000 2.9503 Hf
0.0000 2.0831 2.9503 Al
0.0000 0.0000 4.5625 Ir
0.0000 0.0000 7.2388 Ir
```

The space-group type is No. 119. The energy of formation from the pure elements is -0.862 eV/atom.